# DyAgBi

A geometry-optimized DyAgBi structure (GGA-PBE, Alexandria).

Computed properties:
Magnetization in μB/atom: 0.000
ΔH_f (0 K) in eV/atom: -0.37
D(E_F) in states/eV/cell: 1.4

a = 4.6738 Å, b = 4.6738 Å, c = 4.2007 Å
α = 90.00°, β = 90.00°, γ = 120.00°
Space group P3m1 (No. 156)
Asymmetric unit:
Dy1 0.0000 0.0000 0.0000
Ag1 0.6667 0.3333 0.3414
Bi1 0.3333 0.6667 0.5701